The following is a DFT calculation (PBE) of a relaxed structure of Sm3HoGa.

```
10
Lattice="7.516 0.025 -0.276 -2.033 7.236 0.276 -3.261 -3.238 5.952" Properties=species:S:1:pos:R:3 pbc="T T T"
Sm -3.189 4.571 4.613
Sm 2.247 1.841 4.337
Sm 3.997 2.682 0.904
Sm -0.025 2.181 1.616
Sm 5.411 -0.549 1.340
Sm -1.775 1.341 5.048
Ga 0.292 -0.220 3.663
Ga 1.930 4.243 2.289
Ho -0.439 6.033 1.577
Ho 2.661 -2.010 4.375
```

## Properties
Crystal system: monoclinic
Fermi-level density of states in states/eV per atom: 1.459
V in Å³/cell: 322
Total moment in μB per formula unit: 0.0
Formation energy from the elements in meV per atom: -64